--- P ---
Density functional theory data (PBE-GGA) for an optimized crystal structure of KZrTa2.

density of states at the Fermi level	5.2	states/eV/f.u.

a = 5.8617 Å, b = 5.8617 Å, c = 5.8617 Å
α = 138.56°, β = 138.56°, γ = 60.05°
Closest atoms and distances in Å follow each position.
Positions (direct):
K 0.7500 0.2500 0.5000  4 Zr 2.93, 8 Ta 3.28
Ta 0.0000 0.0000 0.0000  4 Ta 2.93, 4 Zr 3.28, 4 K 3.28
Ta 0.5000 0.5000 0.0000  4 Ta 2.93, 4 K 3.28, 4 Zr 3.28
Zr 0.2500 0.7500 0.5000  4 K 2.93, 8 Ta 3.28

--- Q ---
Density functional theory data (PBE-GGA) for an optimized crystal structure of KZrTa2.

density of states at the Fermi level	5.4	states/eV/f.u.

a = 2.9327 Å, b = 2.9327 Å, c = 11.4755 Å
α = 90.00°, β = 90.00°, γ = 109.37°
Closest atoms and distances in Å follow each position.
Positions (direct):
K 0.5000 0.5000 0.7500  4 K 2.93
Ta 0.0000 0.0000 0.0385  4 Ta 2.93, 2 Zr 2.96
Ta 0.0000 0.0000 0.4615  4 Ta 2.93, 2 Zr 2.96
Zr 0.5000 0.5000 0.2500  4 Zr 2.93, 4 Ta 2.96

Least stable: P

--- P ---
Density functional theory data (PBE-GGA) for an optimized crystal structure of TaIn2Mo.

density of states at the Fermi level	3.1	states/eV/f.u.

a = 3.0500 Å, b = 3.0500 Å, c = 9.6822 Å
α = 90.00°, β = 90.00°, γ = 113.74°
Closest atoms and distances in Å follow each position.
Positions (direct):
In 0.0000 0.0000 0.9823  2 Ta 3.01, 8 In 3.05-3.33
In 0.5000 0.5000 0.2745  2 Mo 2.90, 4 In 3.05
Mo 0.0000 0.0000 0.5194  2 Ta 2.59
Ta 0.5000 0.5000 0.7238  2 Mo 2.59

--- Q ---
Density functional theory data (PBE-GGA) for an optimized crystal structure of TaIn2Mo.

density of states at the Fermi level	3.7	states/eV/f.u.

a = 2.9259 Å, b = 2.9259 Å, c = 8.9169 Å
α = 90.00°, β = 90.00°, γ = 90.00°
Closest atoms and distances in Å follow each position.
Positions (direct):
In 0.0000 0.0000 0.0061  4 In 2.93, 4 Mo 3.00, 4 Ta 3.08
In 0.0000 0.0000 0.4939  4 In 2.93, 4 Mo 3.00, 4 Ta 3.08
Mo 0.5000 0.5000 0.2500  4 Mo 2.93, 8 In 3.00
Ta 0.5000 0.5000 0.7500  4 Ta 2.93, 8 In 3.08

Least stable: Q

--- P ---
Density functional theory data (PBE-GGA) for an optimized crystal structure of CaFeAg2.

density of states at the Fermi level	4.5	states/eV/f.u.

a = 4.7881 Å, b = 3.1729 Å, c = 5.1441 Å
α = 89.98°, β = 90.00°, γ = 90.00°
Closest atoms and distances in Å follow each position.
Positions (direct):
Ca 0.0000 0.6246 0.4424  8 Ag 2.98-3.06, 2 Fe 3.15, 2 Ca 3.17
Fe 0.5000 0.6257 0.8402  6 Ag 2.78-2.91
Ag 0.0000 0.1249 0.9334  4 Fe 2.91, 4 Ca 2.98-3.06, 4 Ag 3.00-3.17
Ag 0.5000 0.1248 0.2840  2 Fe 2.78, 4 Ca 2.99, 2 Ag 3.00

--- Q ---
Density functional theory data (PBE-GGA) for an optimized crystal structure of CaFeAg2.

density of states at the Fermi level	3.8	states/eV/f.u.

a = 4.8340 Å, b = 4.8340 Å, c = 4.8340 Å
α = 60.00°, β = 60.00°, γ = 60.00°
Closest atoms and distances in Å follow each position.
Positions (direct):
Ca 0.0000 0.0000 0.0000  8 Ag 2.96
Fe 0.5000 0.5000 0.5000  8 Ag 2.96
Ag 0.2500 0.2500 0.2500  4 Fe 2.96, 4 Ca 2.96
Ag 0.7500 0.7500 0.7500  4 Ca 2.96, 4 Fe 2.96

Least stable: P

--- P ---
Density functional theory data (PBE-GGA) for an optimized crystal structure of Al2PSe.

density of states at the Fermi level	1.6	states/eV/f.u.

a = 4.5700 Å, b = 4.5700 Å, c = 4.5700 Å
α = 60.00°, β = 60.00°, γ = 60.00°
Closest atoms and distances in Å follow each position.
Positions (direct):
P 0.0000 0.0000 0.0000  8 Al 2.80
Al 0.2500 0.2500 0.2500  4 Se 2.80, 4 P 2.80
Al 0.7500 0.7500 0.7500  4 Se 2.80, 4 P 2.80
Se 0.5000 0.5000 0.5000  8 Al 2.80

--- Q ---
Density functional theory data (PBE-GGA) for an optimized crystal structure of Al2PSe.

density of states at the Fermi level	1.8	states/eV/f.u.

a = 7.8164 Å, b = 7.8164 Å, c = 7.8164 Å
α = 28.06°, β = 28.06°, γ = 28.06°
Closest atoms and distances in Å follow each position.
Positions (direct):
P 0.5369 0.5369 0.5369  3 Al 2.30
Al 0.0041 0.0041 0.0041  3 Se 2.50
Al 0.2345 0.2345 0.2345  3 P 2.30
Se 0.7244 0.7244 0.7244  3 Al 2.50

Least stable: P

--- P ---
Density functional theory data (PBE-GGA) for an optimized crystal structure of LiZnCd3.

density of states at the Fermi level	1.6	states/eV/f.u.

a = 5.0711 Å, b = 5.0711 Å, c = 5.0711 Å
α = 90.00°, β = 90.00°, γ = 90.00°
Closest atoms and distances in Å follow each position.
Positions (direct):
Zn 0.0000 0.0000 0.0000  6 Cd 2.54
Li 0.5000 0.5000 0.5000  12 Cd 3.59
Cd 0.0000 0.5000 0.0000  2 Zn 2.54
Cd 0.0000 0.0000 0.5000  2 Zn 2.54
Cd 0.5000 0.0000 0.0000  2 Zn 2.54

--- Q ---
Density functional theory data (PBE-GGA) for an optimized crystal structure of LiZnCd3.

density of states at the Fermi level	1.5	states/eV/f.u.

a = 5.1885 Å, b = 7.5241 Å, c = 7.4510 Å
α = 133.78°, β = 102.27°, γ = 78.27°
Closest atoms and distances in Å follow each position.
Positions (direct):
Li 0.7128 0.5648 0.4263  8 Cd 3.06-3.37, 2 Li 3.15-3.23, 4 Zn 3.33-3.37
Li 0.2872 0.4352 0.5738  8 Cd 3.06-3.37, 2 Li 3.15-3.23, 4 Zn 3.33-3.37
Zn 0.0000 0.0000 0.0000  2 Zn 2.59, 4 Cd 2.78-2.79
Zn 0.5000 0.0000 0.0000  2 Zn 2.59, 4 Cd 2.79
Cd 0.8341 0.5988 0.8872  2 Zn 2.79, 5 Cd 2.80-3.08, 2 Li 3.11
Cd 0.1583 0.8761 0.5892  2 Zn 2.78-2.79, 5 Cd 2.80-3.08, 1 Li 3.06
Cd 0.1659 0.4012 0.1128  2 Zn 2.79, 5 Cd 2.80-3.08, 2 Li 3.11
Cd 0.8417 0.1239 0.4108  2 Zn 2.78-2.79, 5 Cd 2.80-3.08, 1 Li 3.06
Cd 0.3803 0.8068 0.2003  2 Zn 2.91-2.97, 6 Cd 3.01-3.15
Cd 0.6197 0.1932 0.7997  2 Zn 2.91-2.97, 6 Cd 3.01-3.15

Least stable: P

--- P ---
Density functional theory data (PBE-GGA) for an optimized crystal structure of Li2BeMo.

density of states at the Fermi level	3.2	states/eV/f.u.

a = 2.5065 Å, b = 2.5065 Å, c = 8.8489 Å
α = 90.00°, β = 90.00°, γ = 90.00°
Closest atoms and distances in Å follow each position.
Positions (direct):
Be 0.5000 0.5000 0.7500  4 Be 2.51, 8 Li 2.70
Li 0.0000 0.0000 0.9795  4 Li 2.51, 4 Be 2.70
Li 0.0000 0.0000 0.5205  4 Li 2.51, 4 Be 2.70
Mo 0.5000 0.5000 0.2500  4 Mo 2.51

--- Q ---
Density functional theory data (PBE-GGA) for an optimized crystal structure of Li2BeMo.

density of states at the Fermi level	2.7	states/eV/f.u.

a = 2.5334 Å, b = 2.5334 Å, c = 9.1921 Å
α = 90.00°, β = 90.00°, γ = 109.84°
Closest atoms and distances in Å follow each position.
Positions (direct):
Be 0.5000 0.5000 0.7500  4 Be 2.53, 4 Li 2.58
Li 0.0000 0.0000 0.9820  4 Li 2.53, 2 Be 2.58
Li 0.0000 0.0000 0.5180  4 Li 2.53, 2 Be 2.58
Mo 0.5000 0.5000 0.2500  4 Mo 2.53

Least stable: P

--- P ---
Density functional theory data (PBE-GGA) for an optimized crystal structure of SrY2Cu.

density of states at the Fermi level	5.3	states/eV/f.u.

a = 6.7545 Å, b = 6.7545 Å, c = 3.5696 Å
α = 76.56°, β = 76.56°, γ = 122.08°
Closest atoms and distances in Å follow each position.
Positions (direct):
Cu 0.5000 0.0000 0.5000  4 Sr 3.27-3.50, 4 Y 3.43, 2 Cu 3.57
Sr 0.0000 0.5000 0.5000  4 Cu 3.27-3.50, 4 Y 3.43, 2 Sr 3.57
Y 0.0000 0.0000 0.0000  6 Y 3.27-3.57, 2 Sr 3.43, 2 Cu 3.43
Y 0.5000 0.5000 0.0000  6 Y 3.27-3.57, 2 Cu 3.43, 2 Sr 3.43

--- Q ---
Density functional theory data (PBE-GGA) for an optimized crystal structure of SrY2Cu.

density of states at the Fermi level	6.3	states/eV/f.u.

a = 6.5171 Å, b = 6.5171 Å, c = 6.5171 Å
α = 138.46°, β = 138.46°, γ = 60.20°
Closest atoms and distances in Å follow each position.
Positions (direct):
Cu 0.2500 0.7500 0.5000  4 Sr 3.27, 8 Y 3.65
Sr 0.7500 0.2500 0.5000  4 Cu 3.27, 8 Y 3.65
Y 0.0000 0.0000 0.0000  4 Y 3.27, 4 Sr 3.65, 4 Cu 3.65
Y 0.5000 0.5000 0.0000  4 Y 3.27, 4 Cu 3.65, 4 Sr 3.65

Least stable: P

--- P ---
Density functional theory data (PBE-GGA) for an optimized crystal structure of CaRe2Rh.

density of states at the Fermi level	3.0	states/eV/f.u.

a = 4.8371 Å, b = 3.7451 Å, c = 3.7451 Å
α = 90.00°, β = 90.00°, γ = 90.00°
Closest atoms and distances in Å follow each position.
Positions (direct):
Re 0.0000 0.0000 0.0000  4 Re 2.65
Re 0.0000 0.5000 0.5000  4 Re 2.65
Ca 0.5000 0.0000 0.5000  4 Rh 2.65
Rh 0.5000 0.5000 0.0000  4 Ca 2.65

--- Q ---
Density functional theory data (PBE-GGA) for an optimized crystal structure of CaRe2Rh.

density of states at the Fermi level	3.7	states/eV/f.u.

a = 3.7904 Å, b = 2.8701 Å, c = 7.1638 Å
α = 68.87°, β = 90.00°, γ = 90.00°
Closest atoms and distances in Å follow each position.
Positions (direct):
Re 0.0000 0.9782 0.0623  2 Re 2.47, 1 Rh 2.68
Re 0.5000 0.1854 0.2391  2 Re 2.47, 2 Rh 2.73
Ca 0.5000 0.7992 0.7366  2 Ca 2.87, 4 Rh 2.99-3.02, 2 Re 3.19
Rh 0.0000 0.5372 0.4619  5 Re 2.68-2.88, 2 Rh 2.87, 2 Ca 2.99

Least stable: P